No. 1
The following is a DFT calculation (PBE) of an optimized crystal structure of TlCr2Os.

- VASP energy (eV/atom) = -7.21
- M_tot (μB/f.u.) = 3.6
- V (Å³/f.u.) = 71
- energy relative to the lowest polymorph listed for this composition (meV/atom) = 517
- DOS(E_F) (states/eV/f.u.) = 4.25
- formation energy from the elements (eV per formula unit) = 4.00

Lattice parameters (Å, degrees): 7.171 7.171 5.515 90.00 90.00 90.00
Space group I-42d (No. 122)
Inequivalent atoms, fractional coordinates:
Tl (0.000, 0.000, 0.000)
Cr (0.194, 0.250, 0.625)
Os (0.000, 0.000, 0.500)

***

No. 2
The following is a DFT calculation (PBE) of an optimized crystal structure of Sc2Br.

- VASP energy (eV/atom) = -5.32
- uncorrected formation energy (eV per atom) = -0.5398
- M_tot (μB/f.u.) = 0.0
- V (Å³/f.u.) = 72
- energy relative to the lowest polymorph listed for this composition (meV/atom) = 126
- DOS(E_F) (states/eV/f.u.) = 3.23

Lattice parameters (Å, degrees): 11.274 3.436 8.970 90.00 124.34 90.00
Space group C2/m (No. 12)
Inequivalent atoms, fractional coordinates:
Sc (0.035, 0.000, 0.279)
Sc (0.158, 0.500, 0.065)
Br (0.179, 0.500, 0.611)

***

No. 3
The following is a DFT calculation (PBE) of an optimized crystal structure of Pu8Pt5Se.

- VASP energy (eV/atom) = -11.34
- uncorrected formation energy (eV per atom) = -0.7455
- M_tot (μB/f.u.) = 45.3
- V (Å³/f.u.) = 333
- DOS(E_F) (states/eV/f.u.) = 64.74

Lattice parameters (Å, degrees): 8.760 8.760 8.682 90.00 90.00 90.00
Space group I-4 (No. 82)
Inequivalent atoms, fractional coordinates:
Pu (0.070, 0.319, 0.056)
Pu (0.074, 0.175, 0.697)
Pt (0.000, 0.000, 0.000)
Pt (0.124, 0.248, 0.376)
Se (0.000, 0.500, 0.750)

***

No. 4
The following is a DFT calculation (PBE) of an optimized crystal structure of Y5CdPb6.

- VASP energy (eV/atom) = -5.04
- M_tot (μB/f.u.) = 0.0
- V (Å³/f.u.) = 338
- DOS(E_F) (states/eV/f.u.) = 8.72
- formation energy from the elements (eV per formula unit) = -4.97

Lattice parameters (Å, degrees): 16.114 8.972 4.908 90.00 107.65 90.00
Space group C2/m (No. 12)
Inequivalent atoms, fractional coordinates:
Y (0.000, 0.000, 0.000)
Y (0.144, 0.500, 0.644)
Y (0.170, 0.000, 0.669)
Cd (0.000, 0.500, 0.000)
Pb (0.000, 0.238, 0.500)
Pb (0.171, 0.247, 0.170)